This record from the Alexandria database describes a relaxed SiSb2TePd crystal. The functional is GGA-PBE.

Cell and atoms, written as CIF:
```
data_SiSb2TePd
_chemical_formula_sum 'Si1 Sb2 Te1 Pd1'
_space_group_name_H-M_alt 'P 4/m m m'
_space_group_IT_number 123
_space_group_name_Hall '-P 4 2'
_cell_length_a 5.1551
_cell_length_b 5.1551
_cell_length_c 5.4059
_cell_angle_alpha 90.00
_cell_angle_beta 90.00
_cell_angle_gamma 90.00
loop_
_atom_site_label
_atom_site_fract_x
_atom_site_fract_y
_atom_site_fract_z
_atom_site_occupancy
Si1 0.0000 0.0000 0.0000 1
Sb1 0.0000 0.5000 0.5000 1
Te1 0.5000 0.5000 0.0000 1
Pd1 0.5000 0.5000 0.5000 1
```

The energy above the most stable polymorph in this dataset is 281.9 meV per atom. The value obtained for the formation energy without anion corrections is 3.2 eV per formula unit.

---

This record from the Alexandria database describes a relaxed SiSb2TePd crystal. The functional is GGA-PBE.

Cell and atoms, written as CIF:
```
data_SiSb2TePd
_chemical_formula_sum 'Si1 Sb2 Te1 Pd1'
_space_group_name_H-M_alt 'P 4/m m m'
_space_group_IT_number 123
_space_group_name_Hall '-P 4 2'
_cell_length_a 5.1560
_cell_length_b 5.1560
_cell_length_c 5.1546
_cell_angle_alpha 90.00
_cell_angle_beta 90.00
_cell_angle_gamma 90.00
loop_
_atom_site_label
_atom_site_fract_x
_atom_site_fract_y
_atom_site_fract_z
_atom_site_occupancy
Si1 0.0000 0.0000 0.0000 1
Sb1 0.0000 0.5000 0.0000 1
Te1 0.0000 0.0000 0.5000 1
Pd1 0.5000 0.5000 0.5000 1
```

The energy above the most stable polymorph in this dataset is 368.6 meV per atom. The value obtained for the formation energy without anion corrections is 3.7 eV per formula unit.

---

This record from the Alexandria database describes a relaxed Zn2SiSbPd crystal. The functional is GGA-PBE.

Cell and atoms, written as CIF:
```
data_Zn2SiSbPd
_chemical_formula_sum 'Zn2 Si1 Sb1 Pd1'
_space_group_name_H-M_alt 'P 4/m m m'
_space_group_IT_number 123
_space_group_name_Hall '-P 4 2'
_cell_length_a 4.6498
_cell_length_b 4.6498
_cell_length_c 4.7640
_cell_angle_alpha 90.00
_cell_angle_beta 90.00
_cell_angle_gamma 90.00
loop_
_atom_site_label
_atom_site_fract_x
_atom_site_fract_y
_atom_site_fract_z
_atom_site_occupancy
Zn1 0.0000 0.5000 0.0000 1
Si1 0.0000 0.0000 0.0000 1
Sb1 0.5000 0.5000 0.5000 1
Pd1 0.0000 0.0000 0.5000 1
```

The value obtained for the formation energy without anion corrections is 1.5 eV per formula unit.

---

This record from the Alexandria database describes a relaxed Sm4Sb8Pd3 crystal. The functional is GGA-PBE.

Cell and atoms, written as CIF:
```
data_Sm4Sb8Pd3
_chemical_formula_sum 'Sm4 Sb8 Pd3'
_space_group_name_H-M_alt 'P -4 m 2'
_space_group_IT_number 115
_cell_length_a 4.4764
_cell_length_b 4.4764
_cell_length_c 19.2395
_cell_angle_alpha 90.00
_cell_angle_beta 90.00
_cell_angle_gamma 90.00
loop_
_space_group_symop_operation_xyz
'x,y,z'
'y,-x,-z'
'-x,-y,z'
'-y,x,-z'
'-x,y,z'
'-y,-x,-z'
'x,-y,z'
'y,x,-z'
loop_
_atom_site_label
_atom_site_fract_x
_atom_site_fract_y
_atom_site_fract_z
_atom_site_occupancy
Sm1 0.0000 0.5000 0.1173 1
Sm2 0.0000 0.5000 0.6252 1
Sb1 0.0000 0.0000 0.2469 1
Sb2 0.0000 0.5000 0.4199 1
Sb3 0.0000 0.5000 0.9271 1
Sb4 0.5000 0.5000 0.2472 1
Pd1 0.0000 0.0000 0.0000 1
Pd2 0.0000 0.0000 0.5000 1
Pd3 0.5000 0.5000 0.5000 1
```

The value obtained for the formation energy without anion corrections is -12.3 eV per formula unit.

---

This record from the Alexandria database describes a relaxed SmSb2Pd6 crystal. The functional is GGA-PBE.

Cell and atoms, written as CIF:
```
data_SmSb2Pd6
_chemical_formula_sum 'Sm2 Sb4 Pd12'
_space_group_name_H-M_alt 'C 1 2/m 1'
_space_group_IT_number 12
_cell_length_a 10.6397
_cell_length_b 7.8241
_cell_length_c 4.6400
_cell_angle_alpha 90.00
_cell_angle_beta 115.67
_cell_angle_gamma 90.00
loop_
_space_group_symop_operation_xyz
'x,y,z'
'-x,-y,-z'
'-x,y,-z'
'x,-y,z'
'x+1/2,y+1/2,z'
'-x+1/2,-y+1/2,-z'
'-x+1/2,y+1/2,-z'
'x+1/2,-y+1/2,z'
loop_
_atom_site_label
_atom_site_fract_x
_atom_site_fract_y
_atom_site_fract_z
_atom_site_occupancy
Sm1 0.0000 0.0000 0.0000 1
Sb1 0.1680 0.5000 0.6682 1
Pd1 0.0000 0.2266 0.5000 1
Pd2 0.1814 0.3114 0.1815 1
```

The energy above the most stable polymorph in this dataset is 0.0 meV per atom. The value obtained for the formation energy without anion corrections is -4.4 eV per formula unit.

---

This record from the Alexandria database describes a relaxed SmSb2Pd9 crystal. The functional is GGA-PBE.

Cell and atoms, written as CIF:
```
data_SmSb2Pd9
_chemical_formula_sum 'Sm1 Sb2 Pd9'
_space_group_name_H-M_alt 'P 4/m m m'
_space_group_IT_number 123
_space_group_name_Hall '-P 4 2'
_cell_length_a 4.1074
_cell_length_b 4.1074
_cell_length_c 12.1941
_cell_angle_alpha 90.00
_cell_angle_beta 90.00
_cell_angle_gamma 90.00
loop_
_atom_site_label
_atom_site_fract_x
_atom_site_fract_y
_atom_site_fract_z
_atom_site_occupancy
Sm1 0.0000 0.0000 0.0000 1
Sb1 0.0000 0.0000 0.3347 1
Pd1 0.0000 0.5000 0.1758 1
Pd2 0.0000 0.5000 0.5000 1
Pd3 0.5000 0.5000 0.0000 1
Pd4 0.5000 0.5000 0.3398 1
```

The value obtained for the formation energy without anion corrections is -6.2 eV per formula unit.

---

This record from the Alexandria database describes a relaxed SmSb2Pd7 crystal. The functional is GGA-PBE.

Cell and atoms, written as CIF:
```
data_SmSb2Pd7
_chemical_formula_sum 'Sm2 Sb4 Pd14'
_space_group_name_H-M_alt 'I 4/m m m'
_space_group_IT_number 139
_space_group_name_Hall '-I 4 2'
_cell_length_a 4.1828
_cell_length_b 4.1828
_cell_length_c 21.9253
_cell_angle_alpha 90.00
_cell_angle_beta 90.00
_cell_angle_gamma 90.00
loop_
_atom_site_label
_atom_site_fract_x
_atom_site_fract_y
_atom_site_fract_z
_atom_site_occupancy
Sm1 0.0000 0.0000 0.0000 1
Sb1 0.0000 0.0000 0.3283 1
Pd1 0.0000 0.0000 0.5000 1
Pd2 0.0000 0.5000 0.0960 1
Pd3 0.0000 0.5000 0.2500 1
```

The energy above the most stable polymorph in this dataset is 0.0 meV per atom. The value obtained for the formation energy without anion corrections is -5.6 eV per formula unit.

---

This record from the Alexandria database describes a relaxed SmSb2Pd crystal. The functional is GGA-PBE.

Cell and atoms, written as CIF:
```
data_SmSb2Pd
_chemical_formula_sum 'Sm1 Sb2 Pd1'
_space_group_name_H-M_alt 'P 4/m m m'
_space_group_IT_number 123
_space_group_name_Hall '-P 4 2'
_cell_length_a 4.7618
_cell_length_b 4.7618
_cell_length_c 4.1685
_cell_angle_alpha 90.00
_cell_angle_beta 90.00
_cell_angle_gamma 90.00
loop_
_atom_site_label
_atom_site_fract_x
_atom_site_fract_y
_atom_site_fract_z
_atom_site_occupancy
Sm1 0.0000 0.0000 0.0000 1
Sb1 0.0000 0.5000 0.5000 1
Pd1 0.5000 0.5000 0.0000 1
```

The energy above the most stable polymorph in this dataset is 0.0 meV per atom. The value obtained for the formation energy without anion corrections is -2.6 eV per formula unit.

---

Which value of formation energy without anion corrections does entry 2 give? 3.7 eV per formula unit

---

What is the formation energy without anion corrections in the eighth record? -2.6 eV per formula unit

---

formation energy without anion corrections of number 1 (SiSb2TePd)? 3.2 eV per formula unit

---

Look up the formation energy without anion corrections of the seventh one. -5.6 eV per formula unit